A geometry-optimized TiGeAsBr2 structure. Source: the Alexandria database, functional PBE.

Geometry as CIF:
```
data_TiGeAsBr2
_cell_length_a 4.954
_cell_length_b 4.954
_cell_length_c 5.227
_cell_angle_alpha 90.00
_cell_angle_beta 90.00
_cell_angle_gamma 90.00
_space_group_name_H-M_alt 'P 1'
_space_group_IT_number 1
_space_group_name_Hall 'P 1'
loop_
_atom_site_label
_atom_site_type_symbol
_atom_site_fract_x
_atom_site_fract_y
_atom_site_fract_z
_atom_site_occupancy
Ti1 Ti 0.000 0.000 0.000 1
Ge1 Ge 0.500 0.500 0.500 1
As1 As 0.000 0.000 0.500 1
Br1 Br 0.000 0.500 0.000 1
Br2 Br 0.500 0.000 0.000 1
```

Values from the calculation:
**Energy relative to the lowest polymorph listed for this composition**: 0.00 eV per formula unit
**Formation energy without anion corrections**: -0.2 eV per formula unit
**Calculated total energy**: -4.13 eV per atom
**Total moment**: 0.35 μB per formula unit
**Calculated density**: 4.6 g cm⁻³
**SG**: No. 123
**Volume**: 25.7 Å³ per atom



A geometry-optimized PPtCl structure. Source: the Alexandria database, functional PBE.

Geometry as CIF:
```
data_PPtCl
_cell_length_a 3.459
_cell_length_b 3.459
_cell_length_c 6.742
_cell_angle_alpha 90.00
_cell_angle_beta 90.00
_cell_angle_gamma 120.00
_space_group_name_H-M_alt 'P 1'
_space_group_IT_number 1
_space_group_name_Hall 'P 1'
loop_
_atom_site_label
_atom_site_type_symbol
_atom_site_fract_x
_atom_site_fract_y
_atom_site_fract_z
_atom_site_occupancy
P1 P 0.000 0.000 0.000 1
Pt1 Pt 0.667 0.333 0.187 1
Cl1 Cl 0.333 0.667 0.436 1
```

Values from the calculation:
**Energy relative to the lowest polymorph listed for this composition**: 0.00 eV per formula unit
**Formation energy without anion corrections**: -1.1 eV per formula unit
**Calculated total energy**: -4.80 eV per atom
**Total moment**: 0.00 μB per formula unit
**Calculated density**: 6.2 g cm⁻³
**SG**: No. 156
**Volume**: 23.3 Å³ per atom



A geometry-optimized Ir3OsBr structure. Source: the Alexandria database, functional PBE.

Geometry as CIF:
```
data_Ir3OsBr
_cell_length_a 4.787
_cell_length_b 4.787
_cell_length_c 4.787
_cell_angle_alpha 90.00
_cell_angle_beta 90.00
_cell_angle_gamma 90.00
_space_group_name_H-M_alt 'P 1'
_space_group_IT_number 1
_space_group_name_Hall 'P 1'
loop_
_atom_site_label
_atom_site_type_symbol
_atom_site_fract_x
_atom_site_fract_y
_atom_site_fract_z
_atom_site_occupancy
Ir1 Ir 0.000 0.000 0.500 1
Ir2 Ir 0.000 0.500 0.000 1
Ir3 Ir 0.500 0.000 0.000 1
Os1 Os 0.000 0.000 0.000 1
Br1 Br 0.500 0.500 0.500 1
```

Values from the calculation:
**Energy relative to the lowest polymorph listed for this composition**: 0.00 eV per formula unit
**Formation energy without anion corrections**: 9.7 eV per formula unit
**Calculated total energy**: -5.96 eV per atom
**Total moment**: 0.00 μB per formula unit
**Calculated density**: 12.8 g cm⁻³
**SG**: No. 221
**Volume**: 21.9 Å³ per atom



A geometry-optimized Sm4Ho6Th structure. Source: the Alexandria database, functional PBE.

Geometry as CIF:
```
data_Sm4Ho6Th
_cell_length_a 5.611
_cell_length_b 5.611
_cell_length_c 25.726
_cell_angle_alpha 90.00
_cell_angle_beta 90.00
_cell_angle_gamma 118.26
_space_group_name_H-M_alt 'P 1'
_space_group_IT_number 1
_space_group_name_Hall 'P 1'
loop_
_atom_site_label
_atom_site_type_symbol
_atom_site_fract_x
_atom_site_fract_y
_atom_site_fract_z
_atom_site_occupancy
Sm1 Sm 0.032 0.968 0.623 1
Sm2 Sm 0.032 0.968 0.877 1
Sm3 Sm 0.343 0.657 0.543 1
Sm4 Sm 0.343 0.657 0.957 1
Sm5 Sm 0.657 0.343 0.043 1
Sm6 Sm 0.657 0.343 0.457 1
Sm7 Sm 0.968 0.032 0.123 1
Sm8 Sm 0.968 0.032 0.377 1
Ho1 Ho 0.000 0.000 0.000 1
Ho2 Ho 0.000 0.000 0.500 1
Ho3 Ho 0.030 0.970 0.750 1
Ho4 Ho 0.310 0.690 0.103 1
Ho5 Ho 0.310 0.690 0.397 1
Ho6 Ho 0.362 0.638 0.683 1
Ho7 Ho 0.362 0.638 0.817 1
Ho8 Ho 0.638 0.362 0.183 1
Ho9 Ho 0.638 0.362 0.317 1
Ho10 Ho 0.690 0.310 0.603 1
Ho11 Ho 0.690 0.310 0.897 1
Ho12 Ho 0.970 0.030 0.250 1
Th1 Th 0.307 0.693 0.250 1
Th2 Th 0.693 0.307 0.750 1
```

Values from the calculation:
**Energy relative to the lowest polymorph listed for this composition**: 0.00 eV per formula unit
**Calculated total energy**: -4.75 eV per atom
**Total moment**: 0.00 μB per formula unit
**Calculated density**: 8.5 g cm⁻³
**SG**: No. 63
**Volume**: 32.4 Å³ per atom
**Calculated formation energy**: 135 meV/atom



A geometry-optimized Ag2Ge2Se structure. Source: the Alexandria database, functional PBE.

Geometry as CIF:
```
data_Ag2Ge2Se
_cell_length_a 7.502
_cell_length_b 7.502
_cell_length_c 3.665
_cell_angle_alpha 90.00
_cell_angle_beta 90.00
_cell_angle_gamma 90.00
_space_group_name_H-M_alt 'P 1'
_space_group_IT_number 1
_space_group_name_Hall 'P 1'
loop_
_atom_site_label
_atom_site_type_symbol
_atom_site_fract_x
_atom_site_fract_y
_atom_site_fract_z
_atom_site_occupancy
Ag1 Ag 0.131 0.369 0.000 1
Ag2 Ag 0.369 0.869 0.000 1
Ag3 Ag 0.631 0.131 0.000 1
Ag4 Ag 0.869 0.631 0.000 1
Ge1 Ge 0.174 0.674 0.500 1
Ge2 Ge 0.326 0.174 0.500 1
Ge3 Ge 0.674 0.826 0.500 1
Ge4 Ge 0.826 0.326 0.500 1
Se1 Se 0.000 0.000 0.500 1
Se2 Se 0.500 0.500 0.500 1
```

Values from the calculation:
**Energy relative to the lowest polymorph listed for this composition**: 0.09 eV per formula unit
**Formation energy without anion corrections**: 1.3 eV per formula unit
**Calculated total energy**: -3.42 eV per atom
**Total moment**: 0.00 μB per formula unit
**Calculated density**: 7.1 g cm⁻³
**SG**: No. 127
**Volume**: 20.6 Å³ per atom



A geometry-optimized MgTeSe2 structure. Source: the Alexandria database, functional PBE.

Geometry as CIF:
```
data_MgTeSe2
_cell_length_a 5.048
_cell_length_b 5.048
_cell_length_c 5.048
_cell_angle_alpha 110.58
_cell_angle_beta 110.58
_cell_angle_gamma 107.27
_space_group_name_H-M_alt 'P 1'
_space_group_IT_number 1
_space_group_name_Hall 'P 1'
loop_
_atom_site_label
_atom_site_type_symbol
_atom_site_fract_x
_atom_site_fract_y
_atom_site_fract_z
_atom_site_occupancy
Mg1 Mg 0.000 0.000 0.000 1
Te1 Te 0.500 0.500 0.000 1
Se1 Se 0.000 0.500 0.500 1
Se2 Se 0.500 0.000 0.500 1
```

Values from the calculation:
**Energy relative to the lowest polymorph listed for this composition**: 0.28 eV per formula unit
**Formation energy without anion corrections**: -1.7 eV per formula unit
**Calculated total energy**: -3.34 eV per atom
**Total moment**: 0.00 μB per formula unit
**Calculated density**: 5.2 g cm⁻³
**SG**: No. 139
**Volume**: 24.7 Å³ per atom



A geometry-optimized TlW2Au structure. Source: the Alexandria database, functional PBE.

Geometry as CIF:
```
data_TlW2Au
_cell_length_a 4.692
_cell_length_b 4.692
_cell_length_c 4.692
_cell_angle_alpha 60.00
_cell_angle_beta 60.00
_cell_angle_gamma 60.00
_space_group_name_H-M_alt 'P 1'
_space_group_IT_number 1
_space_group_name_Hall 'P 1'
loop_
_atom_site_label
_atom_site_type_symbol
_atom_site_fract_x
_atom_site_fract_y
_atom_site_fract_z
_atom_site_occupancy
Tl1 Tl 0.000 0.000 0.000 1
W1 W 0.250 0.250 0.250 1
W2 W 0.500 0.500 0.500 1
Au1 Au 0.750 0.750 0.750 1
```

Values from the calculation:
**Energy relative to the lowest polymorph listed for this composition**: 1.87 eV per formula unit
**Calculated total energy**: -6.91 eV per atom
**Total moment**: 0.00 μB per formula unit
**Calculated density**: 17.5 g cm⁻³
**SG**: No. 216
**Volume**: 18.3 Å³ per atom
**Calculated formation energy**: 977 meV/atom



A geometry-optimized Hf6TcPt structure. Source: the Alexandria database, functional PBE.

Geometry as CIF:
```
data_Hf6TcPt
_cell_length_a 5.799
_cell_length_b 5.808
_cell_length_c 7.409
_cell_angle_alpha 90.17
_cell_angle_beta 112.94
_cell_angle_gamma 119.84
_space_group_name_H-M_alt 'P 1'
_space_group_IT_number 1
_space_group_name_Hall 'P 1'
loop_
_atom_site_label
_atom_site_type_symbol
_atom_site_fract_x
_atom_site_fract_y
_atom_site_fract_z
_atom_site_occupancy
Hf1 Hf 0.013 0.449 0.211 1
Hf2 Hf 0.260 0.063 0.212 1
Hf3 Hf 0.356 0.304 0.789 1
Hf4 Hf 0.644 0.696 0.211 1
Hf5 Hf 0.740 0.937 0.788 1
Hf6 Hf 0.987 0.551 0.789 1
Tc1 Tc 0.500 0.000 0.000 1
Pt1 Pt 0.500 0.500 0.500 1
```

Values from the calculation:
**Calculated total energy**: -9.41 eV per atom
**Total moment**: 0.00 μB per formula unit
**Calculated density**: 11.7 g cm⁻³
**SG**: No. 2
**Volume**: 24.1 Å³ per atom
**Calculated formation energy**: 103 meV/atom



A geometry-optimized Ta2MnMo structure. Source: the Alexandria database, functional PBE.

Geometry as CIF:
```
data_Ta2MnMo
_cell_length_a 5.151
_cell_length_b 5.151
_cell_length_c 5.151
_cell_angle_alpha 144.14
_cell_angle_beta 126.78
_cell_angle_gamma 65.85
_space_group_name_H-M_alt 'P 1'
_space_group_IT_number 1
_space_group_name_Hall 'P 1'
loop_
_atom_site_label
_atom_site_type_symbol
_atom_site_fract_x
_atom_site_fract_y
_atom_site_fract_z
_atom_site_occupancy
Ta1 Ta 0.243 0.243 0.000 1
Ta2 Ta 0.757 0.757 0.000 1
Mn1 Mn 0.000 0.500 0.500 1
Mo1 Mo 0.500 0.000 0.500 1
```

Values from the calculation:
**Calculated total energy**: -10.94 eV per atom
**Total moment**: 0.00 μB per formula unit
**Calculated density**: 13.5 g cm⁻³
**SG**: No. 71
**Volume**: 15.8 Å³ per atom
**Calculated formation energy**: -9 meV/atom



A geometry-optimized Tl2CdRe structure. Source: the Alexandria database, functional PBE.

Geometry as CIF:
```
data_Tl2CdRe
_cell_length_a 5.941
_cell_length_b 5.941
_cell_length_c 3.061
_cell_angle_alpha 104.69
_cell_angle_beta 104.69
_cell_angle_gamma 115.24
_space_group_name_H-M_alt 'P 1'
_space_group_IT_number 1
_space_group_name_Hall 'P 1'
loop_
_atom_site_label
_atom_site_type_symbol
_atom_site_fract_x
_atom_site_fract_y
_atom_site_fract_z
_atom_site_occupancy
Tl1 Tl 0.000 0.500 0.000 1
Tl2 Tl 0.500 0.000 0.000 1
Cd1 Cd 0.000 0.000 0.000 1
Re1 Re 0.500 0.500 0.000 1
```

Values from the calculation:
**Energy relative to the lowest polymorph listed for this composition**: 1.04 eV per formula unit
**Calculated total energy**: -3.61 eV per atom
**Total moment**: 0.00 μB per formula unit
**Calculated density**: 13.6 g cm⁻³
**SG**: No. 12
**Volume**: 21.5 Å³ per atom
**Calculated formation energy**: 912 meV/atom



A geometry-optimized YNb3Sb structure. Source: the Alexandria database, functional PBE.

Geometry as CIF:
```
data_YNb3Sb
_cell_length_a 4.975
_cell_length_b 4.975
_cell_length_c 4.975
_cell_angle_alpha 90.00
_cell_angle_beta 90.00
_cell_angle_gamma 90.00
_space_group_name_H-M_alt 'P 1'
_space_group_IT_number 1
_space_group_name_Hall 'P 1'
loop_
_atom_site_label
_atom_site_type_symbol
_atom_site_fract_x
_atom_site_fract_y
_atom_site_fract_z
_atom_site_occupancy
Y1 Y 0.000 0.000 0.000 1
Nb1 Nb 0.000 0.000 0.500 1
Nb2 Nb 0.000 0.500 0.000 1
Nb3 Nb 0.500 0.000 0.000 1
Sb1 Sb 0.500 0.500 0.500 1
```

Values from the calculation:
**Energy relative to the lowest polymorph listed for this composition**: 4.17 eV per formula unit
**Formation energy without anion corrections**: 9.2 eV per formula unit
**Calculated total energy**: -6.33 eV per atom
**Total moment**: 0.00 μB per formula unit
**Calculated density**: 6.6 g cm⁻³
**SG**: No. 221
**Volume**: 24.6 Å³ per atom



A geometry-optimized Sr3SiAs3 structure. Source: the Alexandria database, functional PBE.

Geometry as CIF:
```
data_Sr3SiAs3
_cell_length_a 10.200
_cell_length_b 10.200
_cell_length_c 12.780
_cell_angle_alpha 90.00
_cell_angle_beta 90.00
_cell_angle_gamma 37.38
_space_group_name_H-M_alt 'P 1'
_space_group_IT_number 1
_space_group_name_Hall 'P 1'
loop_
_atom_site_label
_atom_site_type_symbol
_atom_site_fract_x
_atom_site_fract_y
_atom_site_fract_z
_atom_site_occupancy
Sr1 Sr 0.007 0.642 0.132 1
Sr2 Sr 0.142 0.507 0.632 1
Sr3 Sr 0.184 0.816 0.854 1
Sr4 Sr 0.316 0.684 0.354 1
Sr5 Sr 0.358 0.993 0.132 1
Sr6 Sr 0.493 0.858 0.632 1
Sr7 Sr 0.507 0.142 0.368 1
Sr8 Sr 0.642 0.007 0.868 1
Sr9 Sr 0.684 0.316 0.646 1
Sr10 Sr 0.816 0.184 0.146 1
Sr11 Sr 0.858 0.493 0.368 1
Sr12 Sr 0.993 0.358 0.868 1
Si1 Si 0.087 0.087 0.500 1
Si2 Si 0.413 0.413 0.000 1
Si3 Si 0.587 0.587 0.000 1
Si4 Si 0.913 0.913 0.500 1
As1 As 0.037 0.644 0.382 1
As2 As 0.144 0.537 0.882 1
As3 As 0.205 0.795 0.607 1
As4 As 0.295 0.705 0.107 1
As5 As 0.356 0.963 0.382 1
As6 As 0.463 0.856 0.882 1
As7 As 0.537 0.144 0.118 1
As8 As 0.644 0.037 0.618 1
As9 As 0.705 0.295 0.893 1
As10 As 0.795 0.205 0.393 1
As11 As 0.856 0.463 0.118 1
As12 As 0.963 0.356 0.618 1
```

Values from the calculation:
**Formation energy without anion corrections**: -6.1 eV per formula unit
**Calculated total energy**: -4.36 eV per atom
**Total moment**: 0.00 μB per formula unit
**Calculated density**: 4.2 g cm⁻³
**SG**: No. 64
**Volume**: 28.8 Å³ per atom